# 1
# PBE As2P2Ru, optimized geometry
data_As2P2Ru
_cell_length_a 3.146
_cell_length_b 3.146
_cell_length_c 18.060
_cell_angle_alpha 90.00
_cell_angle_beta 90.00
_cell_angle_gamma 90.00
_symmetry_space_group_name_H-M 'I 4/m m m'
_symmetry_Int_Tables_number 139
_symmetry_space_group_name_Hall '-I 4 2'
loop_
_atom_site_label
_atom_site_type_symbol
_atom_site_fract_x
_atom_site_fract_y
_atom_site_fract_z
As1 As 0.000 0.000 0.083
P1 P 0.000 0.500 0.250
Ru1 Ru 0.000 0.000 0.500
# formation energy	0.237	eV/atom
# energy relative to the lowest polymorph listed for this composition	0.0	meV/atom

# 2
# PBE As2PRuSe, optimized geometry
data_As2PRuSe
_cell_length_a 4.621
_cell_length_b 4.621
_cell_length_c 5.225
_cell_angle_alpha 90.00
_cell_angle_beta 90.00
_cell_angle_gamma 90.00
_symmetry_space_group_name_H-M 'P 4/m m m'
_symmetry_Int_Tables_number 123
_symmetry_space_group_name_Hall '-P 4 2'
loop_
_atom_site_label
_atom_site_type_symbol
_atom_site_fract_x
_atom_site_fract_y
_atom_site_fract_z
As1 As 0.000 0.500 0.000
P1 P 0.000 0.000 0.500
Ru1 Ru 0.500 0.500 0.000
Se1 Se 0.500 0.500 0.500
# formation energy without anion corrections	3.8	eV per formula unit
# energy relative to the lowest polymorph listed for this composition	0.0	meV/atom

# 3
# PBE AsPRu2Se, optimized geometry
data_AsPRu2Se
_cell_length_a 4.425
_cell_length_b 4.425
_cell_length_c 4.776
_cell_angle_alpha 90.00
_cell_angle_beta 90.00
_cell_angle_gamma 90.00
_symmetry_space_group_name_H-M 'P 4/m m m'
_symmetry_Int_Tables_number 123
_symmetry_space_group_name_Hall '-P 4 2'
loop_
_atom_site_label
_atom_site_type_symbol
_atom_site_fract_x
_atom_site_fract_y
_atom_site_fract_z
As1 As 0.000 0.000 0.000
P1 P 0.000 0.000 0.500
Ru1 Ru 0.000 0.500 0.500
Se1 Se 0.500 0.500 0.000
# formation energy without anion corrections	3.8	eV per formula unit

# 4
# PBE AsPRuSe2, optimized geometry
data_AsPRuSe2
_cell_length_a 4.689
_cell_length_b 4.689
_cell_length_c 4.573
_cell_angle_alpha 90.00
_cell_angle_beta 90.00
_cell_angle_gamma 90.00
_symmetry_space_group_name_H-M 'P 4/m m m'
_symmetry_Int_Tables_number 123
_symmetry_space_group_name_Hall '-P 4 2'
loop_
_atom_site_label
_atom_site_type_symbol
_atom_site_fract_x
_atom_site_fract_y
_atom_site_fract_z
As1 As 0.000 0.000 0.000
P1 P 0.000 0.000 0.500
Ru1 Ru 0.500 0.500 0.000
Se1 Se 0.000 0.500 0.500
# formation energy without anion corrections	5.3	eV per formula unit
# energy relative to the lowest polymorph listed for this composition	270.2	meV/atom

# 5
# PBE AsPRuSe2, optimized geometry
data_AsPRuSe2
_cell_length_a 4.852
_cell_length_b 4.852
_cell_length_c 4.700
_cell_angle_alpha 90.00
_cell_angle_beta 90.00
_cell_angle_gamma 90.00
_symmetry_space_group_name_H-M 'P 4/m m m'
_symmetry_Int_Tables_number 123
_symmetry_space_group_name_Hall '-P 4 2'
loop_
_atom_site_label
_atom_site_type_symbol
_atom_site_fract_x
_atom_site_fract_y
_atom_site_fract_z
As1 As 0.000 0.000 0.000
P1 P 0.500 0.500 0.000
Ru1 Ru 0.000 0.000 0.500
Se1 Se 0.000 0.500 0.500
# formation energy without anion corrections	4.0	eV per formula unit
# energy relative to the lowest polymorph listed for this composition	0.0	meV/atom

# 6
# PBE As2PRuSe, optimized geometry
data_As2PRuSe
_cell_length_a 4.556
_cell_length_b 4.556
_cell_length_c 4.720
_cell_angle_alpha 90.00
_cell_angle_beta 90.00
_cell_angle_gamma 90.00
_symmetry_space_group_name_H-M 'P 4/m m m'
_symmetry_Int_Tables_number 123
_symmetry_space_group_name_Hall '-P 4 2'
loop_
_atom_site_label
_atom_site_type_symbol
_atom_site_fract_x
_atom_site_fract_y
_atom_site_fract_z
As1 As 0.000 0.500 0.000
P1 P 0.000 0.000 0.000
Ru1 Ru 0.500 0.500 0.500
Se1 Se 0.000 0.000 0.500
# formation energy without anion corrections	5.3	eV per formula unit
# energy relative to the lowest polymorph listed for this composition	302.9	meV/atom